(1)
{
  "formula": "Ho3Si8Ir3",
  "functional": "PBE",
  "state": "relaxed",
  "e_form_raw_ev_per_atom": -0.685,
  "space_group": "No. 12",
  "magnetic_moment_mub_per_fu": 0.000,
  "final_energy_ev_per_atom": -6.664,
  "cell": [[-1.319, -0.408, -3.960], [0.138, -7.880, -1.455], [-7.188, -4.116, 0.598]],
  "species": ["Si", "Si", "Si", "Si", "Ho", "Ir", "Ir", "Si", "Si", "Ir", "Si", "Ho", "Si", "Ho"],
  "frac_coords": [[0.483, 0.337, 0.697], [0.365, 0.997, 0.272], [0.517, 0.663, 0.303], [0.119, 0.158, 0.604], [0.711, 0.253, 0.324], [0.346, 0.296, 0.013], [0.000, 0.500, 0.500], [0.635, 0.003, 0.728], [0.881, 0.842, 0.396], [0.654, 0.704, 0.987], [0.835, 0.445, 0.884], [0.000, 0.000, 0.000], [0.165, 0.555, 0.116], [0.289, 0.747, 0.676]]
}


(2)
{
  "formula": "Tc2MoW",
  "functional": "PBE",
  "state": "relaxed",
  "space_group": "No. 35",
  "magnetic_moment_mub_per_fu": 0.000,
  "ef_ev_per_atom": 0.1314,
  "final_energy_ev_per_atom": -10.998,
  "cell": [[-0.980, -2.504, -0.382], [2.608, -0.172, 0.740], [-2.429, -0.344, 8.476]],
  "species": ["W", "Tc", "Tc", "Mo"],
  "frac_coords": [[0.000, 0.000, 0.497], [0.500, 0.500, 0.248], [0.000, 0.000, 0.002], [0.500, 0.500, 0.753]]
}


(3)
{
  "formula": "Cd4MoP",
  "functional": "PBE",
  "state": "relaxed",
  "space_group": "No. 216",
  "magnetic_moment_mub_per_fu": 3.006,
  "ef_ev_per_atom": 0.7318,
  "final_energy_ev_per_atom": -2.585,
  "cell": [[1.128, 1.206, 5.378], [-4.164, 1.464, 3.488], [-1.627, -3.522, 4.074]],
  "species": ["Cd", "Cd", "P", "Cd", "Mo", "Cd"],
  "frac_coords": [[0.375, 0.375, 0.875], [0.375, 0.375, 0.375], [0.000, 0.000, 0.000], [0.875, 0.375, 0.375], [0.750, 0.750, 0.750], [0.375, 0.875, 0.375]]
}


> Which formula does entry 2 have?

Tc2MoW


Repeat the third record exactly.
{
  "formula": "Cd4MoP",
  "functional": "PBE",
  "state": "relaxed",
  "space_group": "No. 216",
  "magnetic_moment_mub_per_fu": 3.006,
  "ef_ev_per_atom": 0.7318,
  "final_energy_ev_per_atom": -2.585,
  "cell": [[1.128, 1.206, 5.378], [-4.164, 1.464, 3.488], [-1.627, -3.522, 4.074]],
  "species": ["Cd", "Cd", "P", "Cd", "Mo", "Cd"],
  "frac_coords": [[0.375, 0.375, 0.875], [0.375, 0.375, 0.375], [0.000, 0.000, 0.000], [0.875, 0.375, 0.375], [0.750, 0.750, 0.750], [0.375, 0.875, 0.375]]
}